(1)
The following is a DFT calculation (PBE) of a geometry-optimized Ga2AgPd4 structure.

abc: 3.7258 3.7259 9.9704
angles: 100.77 100.77 90.00
With the nearest neighbours (Å) after each atom.
Sites, in units of the cell vectors:
Ag1 0.0000 0.0000 0.0000  2 Pd 2.66
Pd1 0.8616 0.8616 0.7231  4 Ga 2.64, 1 Ag 2.66, 4 Pd 2.84
Ga1 0.3540 0.3540 0.7080  8 Pd 2.64-2.73
Pd2 0.1384 0.1384 0.2769  4 Ga 2.64, 1 Ag 2.66, 4 Pd 2.84
Pd3 0.7500 0.2500 0.5000  8 Pd 2.63-2.84, 4 Ga 2.73
Ga2 0.6460 0.6460 0.2920  8 Pd 2.64-2.73
Pd4 0.2500 0.7500 0.5000  8 Pd 2.63-2.84, 4 Ga 2.73

Offset from the most stable computed form: 104 meV per atom
VASP energy: -4.389 eV/atom

***

(2)
The following is a DFT calculation (PBE) of a geometry-optimized YMg2Au structure.

abc: 4.4669 4.1234 4.9190
angles: 90.00 90.00 90.00
With the nearest neighbours (Å) after each atom.
Sites, in units of the cell vectors:
Mg1 0.5000 0.5000 0.0000  4 Mg 3.04, 4 Y 3.21, 4 Au 3.32
Au1 0.0000 0.5000 0.5000  4 Y 3.04, 8 Mg 3.21-3.32
Mg2 0.0000 0.0000 0.0000  4 Mg 3.04, 4 Au 3.21, 4 Y 3.32
Y1 0.5000 0.0000 0.5000  4 Au 3.04, 8 Mg 3.21-3.32

VASP energy: -3.624 eV/atom

***

(3)
The following is a DFT calculation (PBE) of a geometry-optimized DyHfNi4 structure.

abc: 4.9823 4.9823 4.9823
angles: 60.00 60.00 60.00
With the nearest neighbours (Å) after each atom.
Sites, in units of the cell vectors:
Hf1 0.2500 0.2500 0.2500  12 Ni 2.92, 4 Dy 3.05
Ni1 0.6245 0.6245 0.6245  6 Ni 2.48-2.50
Dy1 0.0000 0.0000 0.0000  12 Ni 2.92, 4 Hf 3.05
Ni2 0.6245 0.6245 0.1266  6 Ni 2.48-2.50
Ni3 0.1266 0.6245 0.6245  6 Ni 2.48-2.50
Ni4 0.6245 0.1266 0.6245  6 Ni 2.48-2.50

VASP energy: -6.702 eV/atom

***

(4)
The following is a DFT calculation (PBE) of a geometry-optimized CsNaCd2 structure.

abc: 4.2550 4.2550 8.4465
angles: 90.00 90.00 90.00
With the nearest neighbours (Å) after each atom.
Sites, in units of the cell vectors:
Cd1 0.0000 0.0000 0.8243  1 Cd 2.97
Cs1 0.5000 0.5000 0.5000  8 Cd 4.07, 2 Na 4.22, 4 Cs 4.26
Cd2 0.0000 0.0000 0.1757  1 Cd 2.97
Na1 0.5000 0.5000 0.0000  8 Cd 3.35

Offset from the most stable computed form: 36 meV per atom
VASP energy: -1.032 eV/atom